TbNdBiSb after structural relaxation, computed with PBE.

abc: 4.5071 4.5071 22.0778
angles: 90.00 90.00 120.00
Space group R3m (No. 160, hexagonal axes)
Symmetry-distinct sites (fractional):
Tb 0.0000 0.0000 0.0000
Nd 0.0000 0.0000 0.4961
Bi 0.0000 0.0000 0.2506
Sb 0.0000 0.0000 0.7455

Output
Calculated volume ... 388 Å³ per cell
Calculated total energy ... -5.39 eV/atom